# 1
Material: Mg3Cd2In7
Method: DFT, PBE
State: relaxed

Calculated values
The value obtained for the spin magnetization is 0.00 μB/f.u. The formation enthalpy at 0 K comes out at -18 meV per atom. The value obtained for the density of states at the Fermi level is 3.483 states/eV/f.u. Its total energy is -2.166 eV per atom. The space group is P2/m (10).

a = 5.861 Å, b = 3.247 Å, c = 15.832 Å
α = 90.00°, β = 98.25°, γ = 90.00°
Fractional positions:
Mg  0.000  0.000  0.000
Mg  0.049  0.500  0.654
Mg  0.951  0.500  0.346
Cd  0.442  0.000  0.327
Cd  0.558  0.000  0.673
In  0.226  0.500  0.164
In  0.249  0.000  0.498
In  0.252  0.000  0.824
In  0.500  0.500  0.000
In  0.748  0.000  0.176
In  0.751  0.000  0.502
In  0.774  0.500  0.836

# 2
Material: Mg8CdIn2
Method: DFT, PBE
State: relaxed

Calculated values
The value obtained for the spin magnetization is 0.00 μB/f.u. The formation enthalpy at 0 K comes out at -51 meV per atom. The value obtained for the density of states at the Fermi level is 2.802 states/eV/f.u. Its total energy is -1.791 eV per atom. The space group is Immm (71). The offset from the most stable computed form is 0 kJ/mol of formula units.

a = 8.374 Å, b = 8.374 Å, c = 8.374 Å
α = 145.95°, β = 128.56°, γ = 63.14°
Fractional positions:
Mg  0.123  0.350  0.772
Mg  0.165  0.165  0.000
Mg  0.276  0.000  0.276
Mg  0.422  0.650  0.772
Mg  0.578  0.350  0.228
Mg  0.724  0.000  0.724
Mg  0.835  0.835  0.000
Mg  0.877  0.650  0.228
Cd  0.000  0.500  0.500
In  0.317  0.817  0.500
In  0.683  0.183  0.500

# 3
Material: Mg5Cd4In2
Method: DFT, PBE
State: relaxed

Calculated values
The value obtained for the spin magnetization is 0.00 μB/f.u. The formation enthalpy at 0 K comes out at -76 meV per atom. The value obtained for the density of states at the Fermi level is 4.874 states/eV/f.u. Its total energy is -1.631 eV per atom. The space group is Pbam (55).

a = 7.517 Å, b = 20.673 Å, c = 3.225 Å
α = 90.00°, β = 90.00°, γ = 90.00°
Fractional positions:
Mg  0.000  0.000  0.000
Mg  0.147  0.413  0.000
Mg  0.208  0.668  0.000
Mg  0.292  0.168  0.000
Mg  0.353  0.913  0.000
Mg  0.500  0.500  0.000
Mg  0.647  0.087  0.000
Mg  0.708  0.832  0.000
Mg  0.792  0.332  0.000
Mg  0.853  0.587  0.000
Cd  0.036  0.868  0.500
Cd  0.177  0.541  0.500
Cd  0.323  0.041  0.500
Cd  0.464  0.368  0.500
Cd  0.536  0.632  0.500
Cd  0.677  0.959  0.500
Cd  0.823  0.459  0.500
Cd  0.964  0.132  0.500
In  0.118  0.278  0.500
In  0.382  0.778  0.500
In  0.618  0.222  0.500
In  0.882  0.722  0.500